# 1
Entry from Alexandria via LeMat-Bulk: a relaxed structure of Mn2SbIr (PBE-GGA).

The crystal system is cubic. Its total energy is -124.12 eV per cell. The total magnetic moment comes out at 1.0041 μB per atom.

Geometry as CIF:
```
data_Mn2SbIr
_chemical_formula_sum 'Mn8 Sb4 Ir4'
_symmetry_space_group_name_H-M 'F -4 3 m'
_symmetry_Int_Tables_number 216
_symmetry_space_group_name_Hall 'F -4 2 3'
_cell_length_a 6.1803
_cell_length_b 6.1803
_cell_length_c 6.1803
_cell_angle_alpha 90.00
_cell_angle_beta 90.00
_cell_angle_gamma 90.00
loop_
_atom_site_label
_atom_site_fract_x
_atom_site_fract_y
_atom_site_fract_z
_atom_site_occupancy
Mn1 0.0000 0.0000 0.0000 1
Mn2 0.2500 0.2500 0.2500 1
Sb1 0.0000 0.0000 0.5000 1
Ir1 0.2500 0.2500 0.7500 1
```


# 2
Entry from Alexandria via LeMat-Bulk: a relaxed structure of MnSbIr2 (PBE-GGA).

The crystal system is orthorhombic. Its total energy is -60.55 eV per cell. The total magnetic moment comes out at 0.6738 μB per atom.

Geometry as CIF:
```
data_MnSbIr2
_chemical_formula_sum 'Mn2 Sb2 Ir4'
_symmetry_space_group_name_H-M 'A m m 2'
_symmetry_Int_Tables_number 38
_cell_length_a 3.9478
_cell_length_b 2.8790
_cell_length_c 11.5279
_cell_angle_alpha 90.00
_cell_angle_beta 90.00
_cell_angle_gamma 90.00
loop_
_symmetry_equiv_pos_as_xyz
'x,y,z'
'-x,-y,z'
'-x,y,z'
'x,-y,z'
'x,y+1/2,z+1/2'
'-x,-y+1/2,z+1/2'
'-x,y+1/2,z+1/2'
'x,-y+1/2,z+1/2'
loop_
_atom_site_label
_atom_site_fract_x
_atom_site_fract_y
_atom_site_fract_z
_atom_site_occupancy
Mn1 0.0000 0.0000 0.0000 1
Sb1 0.5000 0.0000 0.6241 1
Ir1 0.0000 0.0000 0.7802 1
Ir2 0.5000 0.0000 0.3897 1
```


# 3
Entry from Alexandria via LeMat-Bulk: a relaxed structure of MnSb2Ir (PBE-GGA).

The crystal system is cubic. Its total energy is -97.31 eV per cell. The total magnetic moment comes out at 1.0787 μB per atom.

Geometry as CIF:
```
data_MnSb2Ir
_chemical_formula_sum 'Mn4 Sb8 Ir4'
_symmetry_space_group_name_H-M 'F -4 3 m'
_symmetry_Int_Tables_number 216
_symmetry_space_group_name_Hall 'F -4 2 3'
_cell_length_a 6.8121
_cell_length_b 6.8121
_cell_length_c 6.8121
_cell_angle_alpha 90.00
_cell_angle_beta 90.00
_cell_angle_gamma 90.00
loop_
_atom_site_label
_atom_site_fract_x
_atom_site_fract_y
_atom_site_fract_z
_atom_site_occupancy
Mn1 0.0000 0.0000 0.0000 1
Sb1 0.0000 0.0000 0.5000 1
Sb2 0.2500 0.2500 0.2500 1
Ir1 0.2500 0.2500 0.7500 1
```


Which value of total magnetic moment does entry 1 give?
1.0041 μB per atom


Which value of total magnetic moment does entry 2 give?
0.6738 μB per atom


Which of these has the highest total magnetic moment?
MnSb2Ir


Which value of total magnetic moment does entry 3 give?
1.0787 μB per atom